No. 1
The following is a DFT calculation (meta-GGA SCAN) of a PBEsol-optimized structure of Cu2POs.

```
Cu2POs
1.0
2.881 0.000 0.000
0.000 3.707 0.000
-1.441 0.000 4.842
Cu Os P
2 1 1
Direct
0.947 0.000 0.893
0.320 0.500 0.641
0.681 0.000 0.363
0.555 0.500 0.110
```

Computed properties:
D(E_F): 0.58 states/eV/atom
Final energy: -27.961 eV per atom

---

No. 2
The following is a DFT calculation (meta-GGA SCAN) of a PBEsol-optimized structure of NaCa2Mg2As3O12.

```
NaCa2Mg2As3O12
1.0
-5.287 -0.850 -9.275
10.461 -1.537 -1.703
-3.623 -7.378 6.865
Na Ca Mg As O
4 8 8 12 48
Direct
0.250 0.250 0.000
0.500 0.000 0.500
0.750 0.750 0.000
0.000 0.500 0.500
0.875 0.004 0.629
0.996 0.625 0.871
0.875 0.504 0.129
0.496 0.625 0.371
0.375 0.246 0.371
0.754 0.125 0.129
0.375 0.746 0.871
0.254 0.125 0.629
0.625 0.375 0.250
0.125 0.375 0.250
0.125 0.875 0.250
0.625 0.875 0.750
0.625 0.375 0.750
0.125 0.375 0.750
0.625 0.875 0.250
0.125 0.875 0.750
0.750 0.250 0.500
0.375 0.998 0.123
0.748 0.625 0.623
0.248 0.625 0.123
0.875 0.252 0.877
0.000 0.000 0.000
0.250 0.750 0.500
0.002 0.125 0.377
0.375 0.498 0.623
0.502 0.125 0.877
0.875 0.752 0.377
0.500 0.500 0.000
0.930 0.671 0.661
0.720 0.070 0.461
0.729 0.790 0.373
0.930 0.391 0.650
0.229 0.857 0.940
0.210 0.583 0.940
0.019 0.260 0.839
0.833 0.393 0.873
0.710 0.771 0.627
0.731 0.070 0.740
0.509 0.470 0.150
0.329 0.990 0.260
0.030 0.991 0.850
0.430 0.769 0.260
0.107 0.667 0.127
0.609 0.259 0.539
0.240 0.481 0.161
0.421 0.180 0.161
0.917 0.290 0.060
0.740 0.579 0.760
0.820 0.970 0.961
0.141 0.180 0.150
0.643 0.271 0.060
0.009 0.859 0.039
0.241 0.891 0.461
0.607 0.479 0.440
0.109 0.570 0.350
0.430 0.780 0.539
0.510 0.171 0.740
0.333 0.460 0.440
0.829 0.570 0.339
0.010 0.269 0.339
0.641 0.491 0.961
0.143 0.083 0.373
0.820 0.981 0.240
0.220 0.759 0.650
0.921 0.760 0.240
0.741 0.280 0.350
0.519 0.680 0.760
0.540 0.979 0.873
0.417 0.357 0.627
0.231 0.490 0.661
0.040 0.167 0.560
0.021 0.893 0.560
0.320 0.359 0.850
0.530 0.680 0.039
0.521 0.960 0.127
0.320 0.079 0.839
```

Computed properties:
D(E_F): 0.00 states/eV/atom
Energy relative to the elements, uncorrected: -2.364 eV per atom

---

No. 3
The following is a DFT calculation (meta-GGA SCAN) of a PBEsol-optimized structure of PtAuF3.

```
PtAuF3
1.0
4.187 0.000 0.000
0.000 4.187 0.000
0.000 0.000 4.187
Au Pt F
1 1 3
Direct
0.500 0.500 0.500
0.000 0.000 0.000
0.000 0.500 0.000
0.000 0.000 0.500
0.500 0.000 0.000
```

Computed properties:
D(E_F): 0.27 states/eV/atom
Energy relative to the elements, uncorrected: -0.446 eV per atom

---

No. 4
The following is a DFT calculation (meta-GGA SCAN) of a PBEsol-optimized structure of TiNiPd3.

```
TiNiPd3
1.0
4.490 0.000 0.000
0.000 4.490 0.000
0.000 0.000 4.490
Ni Pd Ti
1 3 1
Direct
0.500 0.500 0.500
0.000 0.500 0.000
0.000 0.000 0.500
0.500 0.000 0.000
0.000 0.000 0.000
```

Computed properties:
D(E_F): 0.69 states/eV/atom
Final energy: -25.234 eV per atom

---

No. 5
The following is a DFT calculation (meta-GGA SCAN) of a PBEsol-optimized structure of CoSbSN2.

```
CoSbSN2
1.0
3.719 0.000 0.000
0.000 3.719 0.000
0.000 0.000 4.588
Sb S Co N
1 1 1 2
Direct
0.500 0.500 0.500
0.000 0.000 0.500
0.000 0.000 0.000
0.000 0.500 0.000
0.500 0.000 0.000
```

Computed properties:
D(E_F): 0.39 states/eV/atom
Energy relative to the elements, uncorrected: 0.923 eV per atom

---

No. 6
The following is a DFT calculation (meta-GGA SCAN) of a PBEsol-optimized structure of AlCu2Ni.

```
AlCu2Ni
1.0
-1.870 -1.389 -1.301
-0.383 -1.983 2.667
-3.655 3.190 1.848
Ni Al Cu
1 1 2
Direct
0.000 0.000 0.504
0.500 0.500 0.738
0.000 0.000 0.008
0.500 0.500 0.249
```

Computed properties:
D(E_F): 0.40 states/eV/atom
Final energy: -13.877 eV per atom

---

No. 7
The following is a DFT calculation (meta-GGA SCAN) of a PBEsol-optimized structure of Pu2US5.

```
Pu2US5
1.0
7.151 0.000 0.000
0.000 7.840 0.000
0.000 0.000 11.119
Pu U S
8 4 20
Direct
0.470 0.497 0.323
0.030 0.003 0.823
0.530 0.997 0.677
0.970 0.503 0.177
0.530 0.503 0.677
0.970 0.997 0.177
0.470 0.003 0.323
0.030 0.497 0.823
0.919 0.250 0.488
0.581 0.250 0.988
0.081 0.750 0.512
0.419 0.750 0.012
0.173 0.050 0.590
0.327 0.450 0.090
0.827 0.550 0.410
0.673 0.950 0.910
0.827 0.950 0.410
0.673 0.550 0.910
0.173 0.450 0.590
0.327 0.050 0.090
0.165 0.250 0.308
0.335 0.250 0.808
0.835 0.750 0.692
0.665 0.750 0.192
0.537 0.250 0.501
0.963 0.250 0.001
0.463 0.750 0.499
0.037 0.750 0.999
0.803 0.250 0.721
0.697 0.250 0.221
0.197 0.750 0.279
0.303 0.750 0.779
```

Computed properties:
D(E_F): 1.66 states/eV/atom
Energy relative to the elements, uncorrected: -1.645 eV per atom

---

No. 8
The following is a DFT calculation (meta-GGA SCAN) of a PBEsol-optimized structure of Mg3Tc2.

```
Mg3Tc2
1.0
-1.462 -0.757 -2.149
-0.092 -2.127 1.673
-8.676 5.725 5.161
Mg Tc
3 2
Direct
0.808 0.808 0.616
0.192 0.192 0.384
0.000 0.000 0.000
0.597 0.597 0.195
0.403 0.403 0.805
```

Computed properties:
Energy relative to the lowest polymorph listed for this composition: 233 meV/atom
D(E_F): 0.59 states/eV/atom

---

No. 9
The following is a DFT calculation (meta-GGA SCAN) of a PBEsol-optimized structure of CdGa3Mo.

```
CdGa3Mo
1.0
-3.345 0.130 -3.524
-2.716 -3.193 2.460
-2.250 3.662 2.270
Mo Ga Cd
1 3 1
Direct
0.000 0.000 0.000
0.000 0.500 0.000
0.000 0.000 0.500
0.500 0.000 0.000
0.500 0.500 0.500
```

Computed properties:
D(E_F): 0.64 states/eV/atom
Final energy: -22.381 eV per atom

---

No. 10
The following is a DFT calculation (meta-GGA SCAN) of a PBEsol-optimized structure of Be2Nb2Fe.

```
Be2Nb2Fe
1.0
3.313 0.000 0.000
0.000 6.080 0.000
0.000 0.000 6.080
Be Nb Fe
4 4 2
Direct
0.000 0.377 0.877
0.000 0.877 0.623
0.000 0.623 0.123
0.000 0.123 0.377
0.500 0.177 0.677
0.500 0.677 0.823
0.500 0.823 0.323
0.500 0.323 0.177
0.000 0.000 0.000
0.000 0.500 0.500
```

Computed properties:
D(E_F): 0.42 states/eV/atom
Final energy: -18.766 eV per atom

---

No. 11
The following is a DFT calculation (meta-GGA SCAN) of a PBEsol-optimized structure of KLu3F10.

```
KLu3F10
1.0
-2.382 -7.359 1.637
-2.164 -4.850 -5.857
4.571 -6.156 -1.928
K Lu F
2 6 20
Direct
0.250 0.250 0.250
0.750 0.750 0.750
0.760 0.240 0.240
0.240 0.760 0.760
0.760 0.240 0.760
0.240 0.760 0.240
0.760 0.760 0.240
0.240 0.240 0.760
0.169 0.500 0.500
0.831 0.500 0.500
0.500 0.169 0.831
0.500 0.831 0.169
0.169 0.500 0.831
0.500 0.831 0.500
0.831 0.500 0.169
0.500 0.169 0.500
0.169 0.831 0.500
0.831 0.169 0.500
0.500 0.500 0.831
0.500 0.500 0.169
0.664 0.112 0.112
0.336 0.888 0.888
0.112 0.664 0.112
0.112 0.112 0.664
0.888 0.336 0.888
0.888 0.888 0.336
0.112 0.112 0.112
0.888 0.888 0.888
```

Computed properties:
D(E_F): 0.00 states/eV/atom
Energy relative to the elements, uncorrected: -4.311 eV per atom

---

No. 12
The following is a DFT calculation (meta-GGA SCAN) of a PBEsol-optimized structure of CaPb2.

```
CaPb2
1.0
-3.730 1.023 -0.227
-1.088 -4.429 -2.080
-0.809 -1.938 4.551
Pb Ca
2 1
Direct
0.500 0.000 0.500
0.500 0.500 0.000
0.000 0.000 0.000
```

Computed properties:
D(E_F): 0.54 states/eV/atom
Final energy: -54.074 eV per atom

---

Question: Which value of D(E_F) does entry 3 give?
Answer: 0.27 states/eV/atom